## KLu5S8 (PBE)

Data for crystalline KLu5S8 at its relaxed geometry.

Structure (extended XYZ):
```
14
Lattice="9.981 -1.947 0.000 9.981 1.947 0.000 -2.463 0.000 9.137" Properties=species:S:1:pos:R:3 pbc="T T T"
K 0.000 0.000 0.000
Lu 1.990 0.000 4.066
Lu 2.004 0.000 7.664
Lu 8.749 0.000 4.569
Lu 15.495 0.000 1.474
Lu 15.509 0.000 5.071
S 0.001 0.000 5.874
S 4.521 0.000 3.256
S 6.585 0.000 0.096
S 6.702 0.000 6.356
S 10.797 0.000 2.781
S 10.914 0.000 9.042
S 12.978 0.000 5.882
S 17.498 0.000 3.263
```

The total moment is 0.0 μB/cell. As for the energy: -84.730 eV for the cell shown.